## NdDySi2Pt2 (PBE)

Data for crystalline NdDySi2Pt2 at its relaxed geometry.

Its crystal system is trigonal. Its volume is 124.9 Å³ per cell. The value obtained for the total DFT energy (no corrections) is -6.517 eV per atom.

It has space group P-3m1 (No. 164), with a = 4.1657 Å, b = 4.1657 Å, c = 8.3143 Å, α = 90.00°, β = 90.00° and γ = 120.00°. The inequivalent atoms are Nd at (0.0000, 0.0000, 0.0000), Dy at (0.0000, 0.0000, 0.5000), Si at (0.3333, 0.6667, 0.7445) and Pt at (0.3333, 0.6667, 0.2626).